# LiTb2Fe (PBE-GGA, optimized geometry)
# VASP energy, eV/atom: -4.603
# ΔH_f (0 K), meV per atom: 306
# Total magnetization, μB/cell: 2.9
data_LiTb2Fe
_chemical_formula_sum 'Li3 Tb6 Fe3'
_symmetry_space_group_name_H-M 'R -3 m'
_symmetry_Int_Tables_number 166
_symmetry_space_group_name_Hall '-R 3 2"'
_cell_length_a 3.5066
_cell_length_b 3.5066
_cell_length_c 30.4459
_cell_angle_alpha 90.00
_cell_angle_beta 90.00
_cell_angle_gamma 120.00
loop_
_atom_site_label
_atom_site_fract_x
_atom_site_fract_y
_atom_site_fract_z
Li1 0.0000 0.0000 0.0000
Tb1 0.0000 0.0000 0.1074
Fe1 0.0000 0.0000 0.5000